First-principles (PBE) data for a relaxed CaAlTc2 crystal, as listed in Alexandria via LeMat-Bulk.

Values from the calculation:
ρ: 5.5 g/cm³
DOS(E_F): 8.8 states/eV/cell
final energy: -6.37 eV per atom
crystal system: monoclinic

Cell: 9.310 3.168 5.469 Å, 90.00 101.99 90.00°
Space group C2/m (No. 12)
Inequivalent atoms, fractional coordinates:
1 Ca 0.000 0.000 0.000 [2 per cell]
2 Al 0.000 0.500 0.500 [2 per cell]
3 Tc 0.234 0.000 0.656 [4 per cell]